Material: FeOsBr2
Method: DFT, GGA-PBE
State: relaxed

For the density, the calculation gives 8.693 g cm⁻³. For the uncorrected formation energy, the calculation gives 1.159 eV per atom. The value obtained for the calculated volume is 77.53 Å³/f.u. As for the density of states at the Fermi level: 3.5 states/eV/f.u. The energy above the most stable polymorph in this dataset is 757 meV per atom. Its size of the total moment is 4.72 Bohr magnetons per cell.

It has space group Pmmm (No. 47), with a = 3.039 Å, b = 4.271 Å, c = 5.972 Å, α = 90.00°, β = 90.00° and γ = 90.00°. The distinct sites, in fractional coordinates, are Fe at (0.000, 0.000, 0.000), Os at (0.500, 0.000, 0.500), Br at (0.000, 0.500, 0.500) and Br at (0.500, 0.500, 0.000).

***

Material: FeOsBr2
Method: DFT, GGA-PBE
State: relaxed

For the density, the calculation gives 6.770 g cm⁻³. For the uncorrected formation energy, the calculation gives 0.633 eV per atom. The value obtained for the calculated volume is 99.55 Å³/f.u. As for the density of states at the Fermi level: 3.2 states/eV/f.u. The energy above the most stable polymorph in this dataset is 231 meV per atom. Its size of the total moment is 1.91 Bohr magnetons per cell.

It has space group Pm (No. 6), with a = 4.495 Å, b = 3.397 Å, c = 6.778 Å, α = 90.00°, β = 105.89° and γ = 90.00°. The distinct sites, in fractional coordinates, are Fe at (0.000, 0.000, 0.000), Os at (0.328, 0.500, 0.952), Br at (0.515, 0.000, 0.710) and Br at (0.821, 0.500, 0.231).

***

Material: Fe2OsBr
Method: DFT, GGA-PBE
State: relaxed

For the density, the calculation gives 10.946 g cm⁻³. For the uncorrected formation energy, the calculation gives 0.962 eV per atom. The value obtained for the calculated volume is 57.92 Å³/f.u. As for the density of states at the Fermi level: 3.9 states/eV/f.u. The energy above the most stable polymorph in this dataset is 433 meV per atom. Its size of the total moment is 11.62 Bohr magnetons per cell.

It has space group Immm (No. 71), with a = 2.931 Å, b = 4.491 Å, c = 8.803 Å, α = 90.00°, β = 90.00° and γ = 90.00°. The distinct sites, in fractional coordinates, are Fe at (0.000, 0.000, 0.247), Os at (0.000, 0.500, 0.000) and Br at (0.000, 0.500, 0.500).

***

Material: FeOsBr
Method: DFT, GGA-PBE
State: relaxed

For the density, the calculation gives 10.038 g cm⁻³. For the uncorrected formation energy, the calculation gives 1.220 eV per atom. The value obtained for the calculated volume is 53.93 Å³/f.u. As for the density of states at the Fermi level: 4.2 states/eV/f.u. The energy above the most stable polymorph in this dataset is 415 meV per atom. Its size of the total moment is 11.46 Bohr magnetons per cell.

It has space group F-43m (No. 216), with a = 5.997 Å, b = 5.997 Å, c = 5.997 Å, α = 90.00°, β = 90.00° and γ = 90.00°. The distinct sites, in fractional coordinates, are Fe at (0.000, 0.000, 0.000), Os at (0.250, 0.250, 0.250) and Br at (0.000, 0.000, 0.500).

***

Material: FeOsBr2
Method: DFT, GGA-PBE
State: relaxed

For the density, the calculation gives 7.595 g cm⁻³. For the uncorrected formation energy, the calculation gives 0.590 eV per atom. The value obtained for the calculated volume is 88.74 Å³/f.u. As for the density of states at the Fermi level: 2.9 states/eV/f.u. The energy above the most stable polymorph in this dataset is 188 meV per atom. Its size of the total moment is 6.20 Bohr magnetons per cell.

It has space group Cmm2 (No. 35), with a = 3.652 Å, b = 5.433 Å, c = 8.945 Å, α = 90.00°, β = 90.00° and γ = 90.00°. The distinct sites, in fractional coordinates, are Fe at (0.000, 0.000, 0.000), Os at (0.000, 0.500, 0.839), Br at (0.000, 0.000, 0.623) and Br at (0.000, 0.500, 0.197).

***

Material: Fe2OsBr
Method: DFT, GGA-PBE
State: relaxed

For the density, the calculation gives 10.361 g cm⁻³. For the uncorrected formation energy, the calculation gives 0.671 eV per atom. The value obtained for the calculated volume is 61.19 Å³/f.u. As for the density of states at the Fermi level: 3.8 states/eV/f.u. The energy above the most stable polymorph in this dataset is 141 meV per atom. Its size of the total moment is 5.03 Bohr magnetons per cell.

It has space group P4mm (No. 99), with a = 3.015 Å, b = 3.015 Å, c = 6.731 Å, α = 90.00°, β = 90.00° and γ = 90.00°. The distinct sites, in fractional coordinates, are Fe at (0.000, 0.000, 0.000), Fe at (0.500, 0.500, 0.211), Os at (0.000, 0.000, 0.399) and Br at (0.500, 0.500, 0.747).

***

Material: FeOsBr
Method: DFT, GGA-PBE
State: relaxed

For the density, the calculation gives 11.190 g cm⁻³. For the uncorrected formation energy, the calculation gives 0.905 eV per atom. The value obtained for the calculated volume is 48.37 Å³/f.u. As for the density of states at the Fermi level: 3.9 states/eV/f.u. The energy above the most stable polymorph in this dataset is 101 meV per atom. Its size of the total moment is 4.08 Bohr magnetons per cell.

It has space group I4mm (No. 107), with a = 2.945 Å, b = 2.945 Å, c = 11.152 Å, α = 90.00°, β = 90.00° and γ = 90.00°. The distinct sites, in fractional coordinates, are Fe at (0.000, 0.000, 0.000), Os at (0.000, 0.000, 0.626) and Br at (0.000, 0.000, 0.312).

***

Material: FeOsBr2
Method: DFT, GGA-PBE
State: relaxed

For the density, the calculation gives 9.745 g cm⁻³. For the uncorrected formation energy, the calculation gives 1.061 eV per atom. The value obtained for the calculated volume is 69.16 Å³/f.u. As for the density of states at the Fermi level: 3.7 states/eV/f.u. The energy above the most stable polymorph in this dataset is 659 meV per atom. Its size of the total moment is 4.01 Bohr magnetons per cell.

It has space group R-3m (No. 166, hexagonal axes), with a = 3.1545 Å, b = 3.1545 Å, c = 24.0766 Å, α = 90.00°, β = 90.00° and γ = 120.00°. The distinct sites, in fractional coordinates, are Fe at (0.0000, 0.0000, 0.0000), Os at (0.0000, 0.0000, 0.5000) and Br at (0.0000, 0.0000, 0.2577).

***

Material: Fe2OsBr
Method: DFT, GGA-PBE
State: relaxed

For the density, the calculation gives 9.794 g cm⁻³. For the uncorrected formation energy, the calculation gives 0.530 eV per atom. The value obtained for the calculated volume is 64.74 Å³/f.u. As for the density of states at the Fermi level: 6.2 states/eV/f.u. The energy above the most stable polymorph in this dataset is 0 meV per atom. Its size of the total moment is 5.89 Bohr magnetons per cell.

It has space group Pmmm (No. 47), with a = 2.991 Å, b = 3.027 Å, c = 7.150 Å, α = 90.00°, β = 90.00° and γ = 90.00°. The distinct sites, in fractional coordinates, are Fe at (0.000, 0.000, 0.204), Os at (0.500, 0.500, 0.000) and Br at (0.500, 0.000, 0.500).

***

Material: Fe2OsBr8
Method: DFT, GGA-PBE
State: relaxed

For the density, the calculation gives 4.133 g cm⁻³. For the uncorrected formation energy, the calculation gives -0.302 eV per atom. The value obtained for the calculated volume is 378.12 Å³/f.u. As for the density of states at the Fermi level: 3.1 states/eV/f.u. Its size of the total moment is 20.06 Bohr magnetons per cell.

It has space group C2/m (No. 12), with a = 13.861 Å, b = 8.774 Å, c = 6.219 Å, α = 90.00°, β = 90.55° and γ = 90.00°. The distinct sites, in fractional coordinates, are Fe at (0.156, 0.000, 0.385), Os at (0.000, 0.000, 0.000), Br at (0.073, 0.213, 0.228), Br at (0.151, 0.000, 0.777) and Br at (0.180, 0.500, 0.675).

***

Material: Fe2OsBr
Method: DFT, GGA-PBE
State: relaxed

For the density, the calculation gives 10.729 g cm⁻³. For the uncorrected formation energy, the calculation gives 0.826 eV per atom. The value obtained for the calculated volume is 59.09 Å³/f.u. As for the density of states at the Fermi level: 5.0 states/eV/f.u. The energy above the most stable polymorph in this dataset is 296 meV per atom. Its size of the total moment is 5.76 Bohr magnetons per cell.

It has space group Pm (No. 6), with a = 2.922 Å, b = 4.364 Å, c = 4.635 Å, α = 90.00°, β = 90.66° and γ = 90.00°. The distinct sites, in fractional coordinates, are Fe at (0.000, 0.000, 0.000), Fe at (0.022, 0.500, 0.715), Os at (0.515, 0.500, 0.174) and Br at (0.532, 0.000, 0.495).

***

Material: Fe2Os2Br
Method: DFT, GGA-PBE
State: relaxed

For the density, the calculation gives 10.152 g cm⁻³. For the uncorrected formation energy, the calculation gives 0.768 eV per atom. The value obtained for the calculated volume is 93.57 Å³/f.u. As for the density of states at the Fermi level: 5.7 states/eV/f.u. Its size of the total moment is 11.87 Bohr magnetons per cell.

It has space group I4/mmm (No. 139), with a = 3.643 Å, b = 3.643 Å, c = 14.105 Å, α = 90.00°, β = 90.00° and γ = 90.00°. The distinct sites, in fractional coordinates, are Fe at (0.000, 0.000, 0.127), Os at (0.000, 0.500, 0.250) and Br at (0.000, 0.000, 0.500).